Entry 1
## RbRh2F (PBE-GGA)

Data for an optimized crystal structure of RbRh2F.

The spin magnetization is 2.3 μB/f.u.

Cell lengths 4.712, 4.712, 4.712 Å; angles 60.00, 60.00, 60.00 degrees
Last column: magnetic moment on the atom in μB.
Sites, in units of the cell vectors:
Rh 0.250 0.250 0.250  1.11
Rh 0.750 0.750 0.750  1.11
Rb 0.500 0.500 0.500  0.01
F 0.000 0.000 0.000  0.04



Entry 2
## RbRh2F (PBE-GGA)

Data for an optimized crystal structure of RbRh2F.

The spin magnetization is 0.0 μB/f.u.

Cell lengths 4.784, 4.784, 9.010 Å; angles 74.60, 74.60, 90.00 degrees
Sites, in units of the cell vectors:
Rh 0.375 0.125 0.250
Rh 0.375 0.625 0.250
Rh 0.375 0.625 0.750
Rh 0.875 0.625 0.750
Rb 0.000 0.000 0.000
Rb 0.750 0.250 0.500
F 0.500 0.500 0.000
F 0.250 0.750 0.500



Order from most stable to least stable according to the calculation: entry 2, entry 1